Record 1
Material: KReCl
Method: DFT, PBE
State: optimized geometry

```
data_KReCl
_chemical_formula_sum 'K1 Re1 Cl1'
_cell_length_a 3.0291
_cell_length_b 3.0291
_cell_length_c 7.3852
_cell_angle_alpha 90.00
_cell_angle_beta 90.00
_cell_angle_gamma 120.00
_symmetry_space_group_name_H-M 'P 3 m 1'
_symmetry_Int_Tables_number 156
loop_
_symmetry_equiv_pos_as_xyz
'x,y,z'
'-y,x-y,z'
'-x+y,-x,z'
'-y,-x,z'
'-x+y,y,z'
'x,x-y,z'
loop_
_atom_site_label
_atom_site_type_symbol
_atom_site_fract_x
_atom_site_fract_y
_atom_site_fract_z
K1 K 0.0000 0.0000 0.0000
Re1 Re 0.3333 0.6667 0.3881
Cl1 Cl 0.6667 0.3333 0.6482
```

Results
- energy relative to the elements, uncorrected (meV per atom) = 809

Record 2
Material: PmSm3Bi2
Method: DFT, PBE
State: optimized geometry

```
data_PmSm3Bi2
_chemical_formula_sum 'Pm4 Sm12 Bi8'
_cell_length_a 19.035
_cell_length_b 4.443
_cell_length_c 10.164
_cell_angle_alpha 90.00
_cell_angle_beta 115.04
_cell_angle_gamma 90.00
_symmetry_space_group_name_H-M 'C 1 2/m 1'
_symmetry_Int_Tables_number 12
loop_
_symmetry_equiv_pos_as_xyz
'x,y,z'
'-x,-y,-z'
'-x,y,-z'
'x,-y,z'
'x+1/2,y+1/2,z'
'-x+1/2,-y+1/2,-z'
'-x+1/2,y+1/2,-z'
'x+1/2,-y+1/2,z'
loop_
_atom_site_label
_atom_site_type_symbol
_atom_site_fract_x
_atom_site_fract_y
_atom_site_fract_z
Pm1 Pm 0.111 0.000 0.116
Sm1 Sm 0.056 0.000 0.672
Sm2 Sm 0.144 0.500 0.474
Sm3 Sm 0.188 0.500 0.891
Bi1 Bi 0.009 0.500 0.844
Bi2 Bi 0.249 0.000 0.718
```

Results
- calculated formation energy (eV/atom) = -0.539

no.,calculated total energy (eV per atom)
1,-4.32
2,-4.98